Compound: ScBAs2Br
Source: Alexandria
Functional: PBEsol
Structure: optimized geometry

Values from the calculation:
size of the total moment: 0.000 μB per cell
formation energy without anion corrections: 1.09 eV/f.u.
SG: P4/mmm (123)

Lattice parameters (Å, degrees): 4.282 4.282 4.988 90.00 90.00 90.00
Positions (direct):
Sc  0.000  0.000  0.000
B  0.500  0.500  0.500
As  0.000  0.500  0.500
As  0.500  0.000  0.500
Br  0.500  0.500  0.000

=====

Compound: SnBAsBr2
Source: Alexandria
Functional: PBEsol
Structure: optimized geometry

Values from the calculation:
size of the total moment: 1.005 μB per cell
formation energy without anion corrections: 5.81 eV/f.u.
SG: P4/mmm (123)

Lattice parameters (Å, degrees): 5.440 5.440 5.365 90.00 90.00 90.00
Positions (direct):
Sn  0.000  0.000  0.000
B  0.500  0.500  0.500
As  0.000  0.000  0.500
Br  0.000  0.500  0.000
Br  0.500  0.000  0.000

=====

Copy entry 2 word for word.
Compound: SnBAsBr2
Source: Alexandria
Functional: PBEsol
Structure: optimized geometry

Values from the calculation:
size of the total moment: 1.005 μB per cell
formation energy without anion corrections: 5.81 eV/f.u.
SG: P4/mmm (123)

Lattice parameters (Å, degrees): 5.440 5.440 5.365 90.00 90.00 90.00
Positions (direct):
Sn  0.000  0.000  0.000
B  0.500  0.500  0.500
As  0.000  0.000  0.500
Br  0.000  0.500  0.000
Br  0.500  0.000  0.000

=====

formation energy without anion corrections of number 2 (SnBAsBr2)? 5.81 eV/f.u.